[1]
This record from Alexandria via LeMat-Bulk describes a geometry-optimized Li4DyCd2 structure. The functional is GGA-PBE.

a = 3.718 Å, b = 3.718 Å, c = 10.577 Å
α = 100.12°, β = 100.12°, γ = 90.00°
Positions (direct):
1 Li 0.150 0.150 0.299
2 Li 0.850 0.850 0.701
3 Li 0.750 0.250 0.500
4 Li 0.250 0.750 0.500
5 Dy 0.000 0.000 0.000
6 Cd 0.602 0.602 0.203
7 Cd 0.398 0.398 0.797

Calculated values
Calculated formation energy in eV/atom: -0.07
VASP energy in eV/cell: -14.61
Spin magnetization in μB per cell: 0.00
Symmetry: I4/mmm, No. 139

---

[2]
This record from Alexandria via LeMat-Bulk describes a geometry-optimized PmAgSn2 structure. The functional is GGA-PBE.

a = 5.252 Å, b = 5.252 Å, c = 5.252 Å
α = 60.00°, β = 60.00°, γ = 60.00°
Positions (direct):
1 Sn 0.250 0.250 0.250
2 Sn 0.750 0.750 0.750
3 Ag 0.500 0.500 0.500
4 Pm 0.000 0.000 0.000

Calculated values
Calculated formation energy in eV/atom: -0.24
VASP energy in eV/cell: -16.56
Spin magnetization in μB per cell: 0.00
ΔE to the lowest computed polymorph in meV per atom: 236
Symmetry: Fm-3m, No. 225

---

[3]
This record from Alexandria via LeMat-Bulk describes a geometry-optimized AcTlCuSn structure. The functional is GGA-PBE.

a = 5.346 Å, b = 5.346 Å, c = 5.346 Å
α = 60.00°, β = 60.00°, γ = 60.00°
Positions (direct):
1 Ac 0.750 0.750 0.750
2 Tl 0.000 0.000 0.000
3 Cu 0.500 0.500 0.500
4 Sn 0.250 0.250 0.250

Calculated values
Calculated formation energy in eV/atom: -0.13
VASP energy in eV/cell: -15.10
Spin magnetization in μB per cell: 0.00
Symmetry: F-43m, No. 216